No. 1
Pr3NdZn | GGA-PBE | relaxed

Calculated values
Calculated total energy: -0.29584 Ry/atom
Formation enthalpy at 0 K: 51 meV per atom
ΔE to the lowest computed polymorph: 138 meV/atom
Symmetry: No. 12

Cell: 7.641 7.641 7.652 Å, 106.04 116.79 105.78°
Fractional positions:
Pr  0.839  0.048  0.270
Pr  0.222  0.431  0.270
Pr  0.778  0.569  0.730
Pr  0.726  0.444  0.170
Pr  0.161  0.952  0.730
Pr  0.274  0.556  0.830
Nd  0.710  0.061  0.771
Nd  0.290  0.939  0.229
Zn  0.625  0.752  0.377
Zn  0.375  0.248  0.623

***

No. 2
HfTeSe | GGA-PBE | relaxed

Calculated values
Calculated total energy: -0.48607 Ry/atom
Energy relative to the elements, uncorrected: -1086.7 meV/atom
ΔE to the lowest computed polymorph: 3 meV/atom
Symmetry: No. 156

Cell: 3.861 3.861 6.962 Å, 90.00 90.00 120.00°
Fractional positions:
Te  0.667  0.333  0.250
Hf  0.000  0.000  0.982
Se  0.333  0.667  0.769

***

No. 3
SmThHgTe | GGA-PBE | relaxed

Calculated values
Calculated total energy: -0.33074 Ry/atom
Energy relative to the elements, uncorrected: -604.3 meV/atom
Symmetry: No. 216

Cell: 5.422 5.422 5.422 Å, 60.00 60.00 60.00°
Fractional positions:
Te  0.000  0.000  0.000
Sm  0.250  0.250  0.250
Hg  0.500  0.500  0.500
Th  0.750  0.750  0.750